A plane-wave DFT calculation with PBE-GGA was carried out for Zr2TiAg after structural relaxation.

Geometry as POSCAR:
```
Zr2TiAg
1.0
4.2329 0.0000 0.0000
0.0000 4.3574 0.0000
0.0000 0.0000 4.3574
Zr Ag Ti
2 1 1
direct
0.0000 0.0000 0.5000 Zr
0.0000 0.5000 0.0000 Zr
0.5000 0.5000 0.5000 Ag
0.5000 0.0000 0.0000 Ti
```

Values from the calculation:
**V**: 20.1 Å³/atom
**Spin magnetization**: 0.0 Bohr magnetons per cell
**Distance to the lowest polymorph of the same formula**: 0.137 eV/atom
**Space-group type**: P4/mmm, No. 123
**Formation energy from the elements**: 71.5 meV/atom